Entry 1:
TlFeGeSe3 | OQMD via LeMat-Bulk | PBE | relaxed; ρ = 6.2 g/cm³; electronic total energy = -4.53 eV per atom
1.0
8.393 0.000 0.000
0.000 3.544 0.000
-3.640 0.000 10.303
Tl Fe Ge Se
2 2 2 6
direct
0.056 0.250 0.271
0.944 0.750 0.729
0.486 0.750 0.892
0.514 0.250 0.108
0.421 0.250 0.562
0.579 0.750 0.438
0.207 0.750 0.553
0.287 0.250 0.900
0.382 0.750 0.210
0.618 0.250 0.790
0.713 0.750 0.100
0.793 0.250 0.447


Entry 2:
Y2TmZn3Ir2Pt | OQMD via LeMat-Bulk | PBE | relaxed; DFT formation energy = -686 kJ/mol of formula units; ρ = 10.8 g/cm³
1.0
3.881 0.000 0.000
0.000 6.193 3.602
0.000 -6.193 3.602
Y Tm Zn Ir Pt
2 1 3 2 1
direct
0.000 0.204 0.796
0.000 0.796 0.204
0.000 0.391 0.391
0.500 0.049 0.049
0.500 0.541 0.797
0.500 0.797 0.541
0.500 0.135 0.460
0.500 0.460 0.135
0.000 0.791 0.791


Entry 3:
Sr2Te2AuF2 | OQMD via LeMat-Bulk | PBE | relaxed; ρ = 6.5 g/cm³; electronic total energy = -4.50 eV per atom
1.0
4.240 0.000 0.000
0.000 4.240 0.000
0.000 0.000 9.490
Sr Te Au F
2 2 1 2
direct
0.000 0.500 0.143
0.500 0.000 0.857
0.000 0.500 0.679
0.500 0.000 0.321
0.000 0.000 0.500
0.000 0.000 0.000
0.500 0.500 0.000


Entry 4:
Hg2GeO4 | OQMD via LeMat-Bulk | PBE | relaxed; ρ = 9.1 g/cm³; electronic total energy = -4.14 eV per atom
1.0
3.706 -5.448 0.000
3.706 5.448 0.000
-1.443 0.000 4.863
Hg Ge O
4 2 8
direct
0.016 0.243 0.014
0.243 0.016 0.514
0.757 0.984 0.486
0.984 0.757 0.986
0.417 0.583 0.750
0.583 0.417 0.250
0.138 0.539 0.810
0.308 0.388 0.386
0.388 0.308 0.886
0.461 0.862 0.690
0.539 0.138 0.310
0.612 0.692 0.114
0.692 0.612 0.614
0.862 0.461 0.190


Please write out number 3 again, unchanged.
Sr2Te2AuF2 | OQMD via LeMat-Bulk | PBE | relaxed; ρ = 6.5 g/cm³; electronic total energy = -4.50 eV per atom
1.0
4.240 0.000 0.000
0.000 4.240 0.000
0.000 0.000 9.490
Sr Te Au F
2 2 1 2
direct
0.000 0.500 0.143
0.500 0.000 0.857
0.000 0.500 0.679
0.500 0.000 0.321
0.000 0.000 0.500
0.000 0.000 0.000
0.500 0.500 0.000


Copy entry 1 word for word.
TlFeGeSe3 | OQMD via LeMat-Bulk | PBE | relaxed; ρ = 6.2 g/cm³; electronic total energy = -4.53 eV per atom
1.0
8.393 0.000 0.000
0.000 3.544 0.000
-3.640 0.000 10.303
Tl Fe Ge Se
2 2 2 6
direct
0.056 0.250 0.271
0.944 0.750 0.729
0.486 0.750 0.892
0.514 0.250 0.108
0.421 0.250 0.562
0.579 0.750 0.438
0.207 0.750 0.553
0.287 0.250 0.900
0.382 0.750 0.210
0.618 0.250 0.790
0.713 0.750 0.100
0.793 0.250 0.447